Record 1
Below is an optimized crystal structure of Nd4Tm3Th2, with properties calculated at the PBE level.

Unit cell a=3.577 b=3.577 c=26.966 alpha=90.00 beta=90.00 gamma=120.00
Atoms (fractional coordinates):
Nd (0.667, 0.333, 0.430)
Nd (0.667, 0.333, 0.217)
Nd (0.000, 0.000, 0.763)
Nd (0.000, 0.000, 0.547)
Th (0.667, 0.333, 0.874)
Th (0.667, 0.333, 0.088)
Tm (0.000, 0.000, 0.323)
Tm (0.667, 0.333, 0.654)
Tm (0.000, 0.000, 0.982)

DFT formation energy ... 0.08 eV/atom
Distance to the lowest polymorph of the same formula ... 0 meV per atom
Uncorrected energy ... -5.180 eV per atom

=====

Record 2
Below is an optimized crystal structure of SrCdHg2, with properties calculated at the PBE level.

Unit cell a=4.470 b=4.470 c=7.842 alpha=73.44 beta=73.44 gamma=60.00
Atoms (fractional coordinates):
Hg (0.241, 0.241, 0.278)
Hg (0.094, 0.094, 0.718)
Cd (0.497, 0.497, 0.508)
Sr (0.668, 0.668, 0.996)

DFT formation energy ... -0.24 eV/atom
Uncorrected energy ... -1.041 eV per atom